## Rb2V2NiO6 (PBE with a Hubbard U)

Data for Rb2V2NiO6 after structural relaxation.

The space group is R-3m (No. 166, hexagonal axes) and the conventional cell measures 5.9461, 5.9461 and 17.1977 Å, with angles of 90.00, 90.00 and 120.00 degrees. The asymmetric unit holds Rb at (0.0000, 0.0000, 0.2184), V at (0.0000, 0.0000, 0.4222), Ni at (0.0000, 0.0000, 0.0000) and O at (0.0047, 0.5024, 0.2629).

The total magnetic moment comes out at 6.2 Bohr magnetons per cell. For the total DFT energy (no corrections), the calculation gives -6.1022 eV per atom. The value obtained for the calculated volume is 526.6 Å³/cell.